(1)
This record from Alexandria describes an optimized crystal structure of Pm3PrSm3. The functional is PBE-GGA.

a = 7.259 Å, b = 6.665 Å, c = 6.665 Å
α = 107.60°, β = 111.29°, γ = 111.29°
Sites, in units of the cell vectors:
Pm 0.017 0.560 0.560
Pm 0.457 0.000 0.440
Pm 0.457 0.440 0.000
Pr 0.496 0.000 0.000
Sm 0.604 0.631 0.631
Sm 0.973 0.000 0.369
Sm 0.973 0.369 0.000

Properties
The energy above the lowest structure with this stoichiometry is 30 meV/atom. Its raw total energy is -0.1655 Ha/atom. Its density of states at the Fermi level is 10.18 states/eV per cell.



(2)
This record from Alexandria describes an optimized crystal structure of ZnGaBi2I. The functional is PBE-GGA.

a = 6.098 Å, b = 6.098 Å, c = 5.261 Å
α = 90.00°, β = 90.00°, γ = 90.00°
Sites, in units of the cell vectors:
I 0.000 0.000 0.000
Zn 0.000 0.000 0.500
Bi 0.000 0.500 0.000
Bi 0.500 0.000 0.000
Ga 0.500 0.500 0.500

Properties
The energy above the lowest structure with this stoichiometry is 495 meV/atom. Its uncorrected formation energy is 4.23 eV/f.u. Its raw total energy is -0.0689 Ha/atom. Its density of states at the Fermi level is 3.66 states/eV per cell.



(3)
This record from Alexandria describes an optimized crystal structure of SbPb6S3Cl2. The functional is PBE-GGA.

a = 7.487 Å, b = 7.487 Å, c = 7.940 Å
α = 99.43°, β = 99.43°, γ = 121.97°
Sites, in units of the cell vectors:
Sb 0.000 0.000 0.000
Pb 0.910 0.592 0.727
Pb 0.759 0.759 0.265
Pb 0.090 0.408 0.273
Pb 0.592 0.910 0.727
Pb 0.241 0.241 0.735
Pb 0.408 0.090 0.273
S 0.153 0.847 0.500
S 0.847 0.153 0.500
S 0.500 0.500 0.500
Cl 0.323 0.677 0.000
Cl 0.677 0.323 0.000

Properties
Its uncorrected formation energy is -5.81 eV/f.u. Its raw total energy is -0.1478 Ha/atom. Its density of states at the Fermi level is 2.74 states/eV per cell.



(4)
This record from Alexandria describes an optimized crystal structure of Cs3H2. The functional is PBE-GGA.

a = 7.892 Å, b = 7.892 Å, c = 8.991 Å
α = 63.97°, β = 63.97°, γ = 60.00°
Sites, in units of the cell vectors:
Cs 0.068 0.750 0.750
Cs 0.750 0.432 0.750
Cs 0.432 0.068 0.750
Cs 0.250 0.568 0.250
Cs 0.568 0.932 0.250
Cs 0.932 0.250 0.250
H 0.835 0.835 0.494
H 0.335 0.335 0.994
H 0.165 0.165 0.506
H 0.665 0.665 0.006

Properties
The energy above the lowest structure with this stoichiometry is 3 meV/atom. Its raw total energy is -0.0699 Ha/atom. Its density of states at the Fermi level is 2.52 states/eV per cell.



(5)
This record from Alexandria describes an optimized crystal structure of Hg3AsPd12. The functional is PBE-GGA.

a = 4.038 Å, b = 4.038 Å, c = 16.058 Å
α = 90.00°, β = 90.00°, γ = 90.00°
Sites, in units of the cell vectors:
Hg 0.000 0.000 0.247
Hg 0.000 0.000 0.500
Hg 0.000 0.000 0.753
As 0.000 0.000 0.000
Pd 0.500 0.500 0.000
Pd 0.500 0.500 0.244
Pd 0.500 0.500 0.500
Pd 0.500 0.500 0.756
Pd 0.500 0.000 0.116
Pd 0.500 0.000 0.373
Pd 0.500 0.000 0.627
Pd 0.500 0.000 0.884
Pd 0.000 0.500 0.116
Pd 0.000 0.500 0.373
Pd 0.000 0.500 0.627
Pd 0.000 0.500 0.884

Properties
Its raw total energy is -0.1609 Ha/atom. Its density of states at the Fermi level is 17.64 states/eV per cell.



(6)
This record from Alexandria describes an optimized crystal structure of Al2PbSe. The functional is PBE-GGA.

a = 5.066 Å, b = 5.066 Å, c = 5.066 Å
α = 60.00°, β = 60.00°, γ = 60.00°
Sites, in units of the cell vectors:
Pb 0.500 0.500 0.500
Al 0.000 0.000 0.000
Al 0.250 0.250 0.250
Se 0.750 0.750 0.750

Properties
The energy above the lowest structure with this stoichiometry is 381 meV/atom. Its uncorrected formation energy is 0.96 eV/f.u. Its raw total energy is -0.1261 Ha/atom. Its density of states at the Fermi level is 1.91 states/eV per cell.



- Which formula does entry 2 have?
  ZnGaBi2I